No. 1
Here is a relaxed structure of CdRePt2 from the Alexandria database. Energies are from GGA-PBE.

```
4
Lattice="1.418 0.819 9.385 -1.418 0.819 9.385 0.000 -1.637 9.385" Properties=species:S:1:pos:R:3 pbc="T T T"
Cd 0.000 0.000 0.000
Re 0.000 0.000 6.904
Pt 0.000 0.000 14.167
Pt 0.000 0.000 21.190
```

Results
Its energy of formation is 81 meV per atom. The crystal system is trigonal.



No. 2
Here is a relaxed structure of AsOsCl2 from the Alexandria database. Energies are from GGA-PBE.

```
4
Lattice="4.509 0.000 0.000 0.000 3.119 0.000 -1.775 0.000 4.788" Properties=species:S:1:pos:R:3 pbc="T T T"
As 0.000 0.000 0.000
Os -0.887 1.560 2.394
Cl 1.367 0.000 2.394
Cl 2.254 1.560 0.000
```

Results
For the formation energy (no corrections), the calculation gives 0.941 eV per atom. The calculation puts the energy above the most stable polymorph in this dataset at 4.06 eV per formula unit. The crystal system is monoclinic.



No. 3
Here is a relaxed structure of Ba2Tl6GePb from the Alexandria database. Energies are from GGA-PBE.

```
20
Lattice="8.655 0.000 0.000 0.000 10.688 0.000 0.000 0.000 7.718" Properties=species:S:1:pos:R:3 pbc="T T T"
Ba 2.164 0.209 1.636
Ba 2.164 5.135 1.636
Ba 6.491 5.553 6.083
Ba 6.491 10.479 6.083
Tl 0.536 2.672 6.830
Tl 0.630 8.016 3.972
Tl 2.164 0.144 5.441
Tl 2.164 5.200 5.441
Tl 3.697 8.016 3.972
Tl 3.792 2.672 6.830
Tl 4.863 8.016 0.888
Tl 4.958 2.672 3.747
Tl 6.491 5.488 2.277
Tl 6.491 10.544 2.277
Tl 8.024 2.672 3.747
Tl 8.119 8.016 0.888
Ge 2.164 2.672 3.971
Ge 6.491 8.016 3.747
Pb 2.164 8.016 6.970
Pb 6.491 2.672 0.749
```

Results
Its energy of formation is -131 meV per atom. The crystal system is orthorhombic.



No. 4
Here is a relaxed structure of CrAs2Ir from the Alexandria database. Energies are from GGA-PBE.

```
4
Lattice="3.051 0.000 0.000 0.000 3.051 0.000 0.000 0.000 6.136" Properties=species:S:1:pos:R:3 pbc="T T T"
Cr 0.000 0.000 0.000
As 1.525 1.525 1.396
As 1.525 1.525 4.740
Ir 0.000 0.000 3.068
```

Results
The calculation puts the energy above the most stable polymorph in this dataset at 0.74 eV per formula unit. Its energy of formation is 145 meV per atom. The crystal system is tetragonal.



No. 5
Here is a relaxed structure of SbOs3 from the Alexandria database. Energies are from GGA-PBE.

```
4
Lattice="2.869 0.000 0.000 0.000 3.841 0.000 0.000 0.000 5.816" Properties=species:S:1:pos:R:3 pbc="T T T"
Sb 0.000 0.000 0.000
Os 0.000 0.000 2.908
Os 1.435 1.921 1.590
Os 1.435 1.921 4.225
```

Results
For the formation energy (no corrections), the calculation gives 0.633 eV per atom. The crystal system is orthorhombic.



No. 6
Here is a relaxed structure of Th2GaPt from the Alexandria database. Energies are from GGA-PBE.

```
4
Lattice="1.954 1.128 9.880 -1.954 1.128 9.880 0.000 -2.257 9.880" Properties=species:S:1:pos:R:3 pbc="T T T"
Th 0.000 0.000 3.134
Th 0.000 0.000 26.504
Ga 0.000 0.000 0.000
Pt 0.000 0.000 14.819
```

Results
Its energy of formation is -190 meV per atom. The crystal system is trigonal.



No. 7
Here is a relaxed structure of TaZn2Ir from the Alexandria database. Energies are from GGA-PBE.

```
4
Lattice="1.424 0.822 9.012 -1.424 0.822 9.012 0.000 -1.645 9.012" Properties=species:S:1:pos:R:3 pbc="T T T"
Ta 0.000 0.000 0.000
Zn 0.000 0.000 6.633
Zn 0.000 0.000 13.352
Ir 0.000 0.000 20.204
```

Results
Its energy of formation is -86 meV per atom. The crystal system is trigonal.



No. 8
Here is a relaxed structure of Na2YHgSb from the Alexandria database. Energies are from GGA-PBE.

```
5
Lattice="5.222 0.000 0.000 0.000 5.222 0.000 0.000 0.000 5.915" Properties=species:S:1:pos:R:3 pbc="T T T"
Na 0.000 2.611 0.000
Na 2.611 0.000 0.000
Y 0.000 0.000 2.958
Hg 0.000 0.000 0.000
Sb 2.611 2.611 2.958
```

Results
For the formation energy (no corrections), the calculation gives 0.017 eV per atom. The crystal system is tetragonal.



| no. | density of states at the Fermi level (states/eV/cell) |
| --- | --- |
| 1 | 4.30 |
| 2 | 2.85 |
| 3 | 11.33 |
| 4 | 3.51 |
| 5 | 4.07 |
| 6 | 4.04 |
| 7 | 3.68 |
| 8 | 3.75 |